4
Lattice="2.068 -3.583 0.000 2.068 3.583 0.000 0.000 0.000 5.241" Properties=species:S:1:pos:R:3 comment="TbC | the Open Quantum Materials Database | PBE | relaxed" volume_a3_per_atom=19.42 total_energy_ev_per_atom=-6.6169 pbc="T T T"
Tb 2.068 1.194 4.916
Tb 0.000 0.000 2.296
C 0.000 0.000 4.910
C 2.068 1.194 2.289